1.
## TbZnCo2C (GGA-PBE)

Data for crystalline TbZnCo2C at its relaxed geometry.

The space group is Cmcm (No. 63) and the conventional cell measures 3.842, 10.448 and 6.965 Å, with angles of 90.00, 90.00 and 90.00 degrees. The distinct sites, in fractional coordinates, are Tb at (0.000, 0.050, 0.250), Zn at (0.000, 0.229, 0.750), Co at (0.000, 0.338, 0.061) and C at (0.000, 0.500, 0.000).

As for the formation energy: -92 kJ/mol of formula units. For the density of states at the Fermi level, the calculation gives 18.68 states/eV per cell.


2.
## Co2TcC (GGA-PBE)

Data for crystalline Co2TcC at its relaxed geometry.

The space group is I-42d (No. 122) and the conventional cell measures 6.231, 6.231 and 4.400 Å, with angles of 90.00, 90.00 and 90.00 degrees. The distinct sites, in fractional coordinates, are Co at (0.147, 0.750, 0.125), Tc at (0.000, 0.000, 0.500) and C at (0.000, 0.000, 0.000).

As for the formation energy: 141 kJ/mol of formula units. For the density of states at the Fermi level, the calculation gives 19.43 states/eV per cell.